## TbZn8Pd4 (PBE)

Data for a relaxed structure of TbZn8Pd4.

The structure in CIF format:
```
data_TbZn8Pd4
_cell_length_a 8.7783
_cell_length_b 8.7783
_cell_length_c 5.4830
_cell_angle_alpha 90.00
_cell_angle_beta 90.00
_cell_angle_gamma 90.00
_symmetry_space_group_name_H-M 'I 4/m m m'
_symmetry_Int_Tables_number 139
_symmetry_space_group_name_Hall '-I 4 2'
loop_
_atom_site_label
_atom_site_type_symbol
_atom_site_fract_x
_atom_site_fract_y
_atom_site_fract_z
Tb1 Tb 0.0000 0.0000 0.0000
Zn1 Zn 0.0000 0.2170 0.5000
Zn2 Zn 0.0000 0.3477 0.0000
Pd1 Pd 0.2500 0.2500 0.2500
```

---

## Tb3Zn8Pd3 (PBE)

Data for a relaxed structure of Tb3Zn8Pd3.

The structure in CIF format:
```
data_Tb3Zn8Pd3
_cell_length_a 4.1908
_cell_length_b 9.2699
_cell_length_c 13.0724
_cell_angle_alpha 90.00
_cell_angle_beta 90.00
_cell_angle_gamma 90.00
_symmetry_space_group_name_H-M 'I m m m'
_symmetry_Int_Tables_number 71
_symmetry_space_group_name_Hall '-I 2 2'
loop_
_atom_site_label
_atom_site_type_symbol
_atom_site_fract_x
_atom_site_fract_y
_atom_site_fract_z
Tb1 Tb 0.0000 0.0000 0.0000
Tb2 Tb 0.0000 0.0000 0.3271
Zn1 Zn 0.0000 0.2754 0.1253
Zn2 Zn 0.0000 0.3630 0.3194
Pd1 Pd 0.0000 0.2334 0.5000
Pd2 Pd 0.0000 0.5000 0.0000
```

---

## TbZn3Pd3 (PBE)

Data for a relaxed structure of TbZn3Pd3.

The structure in CIF format:
```
data_TbZn3Pd3
_cell_length_a 8.6946
_cell_length_b 6.8705
_cell_length_c 8.2751
_cell_angle_alpha 90.00
_cell_angle_beta 105.06
_cell_angle_gamma 90.00
_symmetry_space_group_name_H-M 'C 1 2/m 1'
_symmetry_Int_Tables_number 12
loop_
_symmetry_equiv_pos_as_xyz
'x,y,z'
'-x,-y,-z'
'-x,y,-z'
'x,-y,z'
'x+1/2,y+1/2,z'
'-x+1/2,-y+1/2,-z'
'-x+1/2,y+1/2,-z'
'x+1/2,-y+1/2,z'
loop_
_atom_site_label
_atom_site_type_symbol
_atom_site_fract_x
_atom_site_fract_y
_atom_site_fract_z
Tb1 Tb 0.2325 0.0000 0.2135
Zn1 Zn 0.1002 0.3125 0.4076
Zn2 Zn 0.1218 0.0000 0.6224
Pd1 Pd 0.0902 0.2031 0.8845
Pd2 Pd 0.1323 0.5000 0.1334
```

The energy above the most stable polymorph in this dataset comes out at 37 meV per atom.

---

## Tb3Zn2Pd4 (PBE)

Data for a relaxed structure of Tb3Zn2Pd4.

The structure in CIF format:
```
data_Tb3Zn2Pd4
_cell_length_a 10.9637
_cell_length_b 4.2827
_cell_length_c 8.6681
_cell_angle_alpha 90.00
_cell_angle_beta 115.88
_cell_angle_gamma 90.00
_symmetry_space_group_name_H-M 'C 1 2/m 1'
_symmetry_Int_Tables_number 12
loop_
_symmetry_equiv_pos_as_xyz
'x,y,z'
'-x,-y,-z'
'-x,y,-z'
'x,-y,z'
'x+1/2,y+1/2,z'
'-x+1/2,-y+1/2,-z'
'-x+1/2,y+1/2,-z'
'x+1/2,-y+1/2,z'
loop_
_atom_site_label
_atom_site_type_symbol
_atom_site_fract_x
_atom_site_fract_y
_atom_site_fract_z
Tb1 Tb 0.0000 0.0000 0.0000
Tb2 Tb 0.1422 0.5000 0.6923
Zn1 Zn 0.1590 0.5000 0.3267
Pd1 Pd 0.0786 0.0000 0.4105
Pd2 Pd 0.2111 0.5000 0.0678
```

The energy above the most stable polymorph in this dataset comes out at 0 meV per atom.

---

## Tb2ZnPd (PBE)

Data for a relaxed structure of Tb2ZnPd.

The structure in CIF format:
```
data_Tb2ZnPd
_cell_length_a 4.0801
_cell_length_b 4.0801
_cell_length_c 27.5549
_cell_angle_alpha 90.00
_cell_angle_beta 90.00
_cell_angle_gamma 120.00
_symmetry_space_group_name_H-M 'R -3 m'
_symmetry_Int_Tables_number 166
_symmetry_space_group_name_Hall '-R 3 2"'
loop_
_atom_site_label
_atom_site_type_symbol
_atom_site_fract_x
_atom_site_fract_y
_atom_site_fract_z
Tb1 Tb 0.0000 0.0000 0.1120
Zn1 Zn 0.0000 0.0000 0.0000
Pd1 Pd 0.0000 0.0000 0.5000
```

---

## TbZn3Pd3 (PBE)

Data for a relaxed structure of TbZn3Pd3.

The structure in CIF format:
```
data_TbZn3Pd3
_cell_length_a 6.7355
_cell_length_b 6.7355
_cell_length_c 18.8179
_cell_angle_alpha 90.00
_cell_angle_beta 90.00
_cell_angle_gamma 120.00
_symmetry_space_group_name_H-M 'R -3'
_symmetry_Int_Tables_number 148
_symmetry_space_group_name_Hall '-R 3'
loop_
_atom_site_label
_atom_site_type_symbol
_atom_site_fract_x
_atom_site_fract_y
_atom_site_fract_z
Tb1 Tb 0.0000 0.0000 0.1596
Zn1 Zn 0.0419 0.4334 0.3699
Pd1 Pd 0.0040 0.2428 0.5649
```

The energy above the most stable polymorph in this dataset comes out at 0 meV per atom.

---

## TbZn2Pd (PBE)

Data for a relaxed structure of TbZn2Pd.

The structure in CIF format:
```
data_TbZn2Pd
_cell_length_a 3.3409
_cell_length_b 3.3409
_cell_length_c 6.6029
_cell_angle_alpha 90.00
_cell_angle_beta 90.00
_cell_angle_gamma 90.00
_symmetry_space_group_name_H-M 'P 4/m m m'
_symmetry_Int_Tables_number 123
_symmetry_space_group_name_Hall '-P 4 2'
loop_
_atom_site_label
_atom_site_type_symbol
_atom_site_fract_x
_atom_site_fract_y
_atom_site_fract_z
Tb1 Tb 0.0000 0.0000 0.0000
Zn1 Zn 0.5000 0.5000 0.3012
Pd1 Pd 0.0000 0.0000 0.5000
```

---

## Tb5ZnPd2 (PBE)

Data for a relaxed structure of Tb5ZnPd2.

The structure in CIF format:
```
data_Tb5ZnPd2
_cell_length_a 7.8536
_cell_length_b 7.8536
_cell_length_c 13.1285
_cell_angle_alpha 90.00
_cell_angle_beta 90.00
_cell_angle_gamma 90.00
_symmetry_space_group_name_H-M 'I 4/m c m'
_symmetry_Int_Tables_number 140
_symmetry_space_group_name_Hall '-I 4 2c'
loop_
_atom_site_label
_atom_site_type_symbol
_atom_site_fract_x
_atom_site_fract_y
_atom_site_fract_z
Tb1 Tb 0.0000 0.0000 0.0000
Tb2 Tb 0.1607 0.3393 0.1433
Zn1 Zn 0.0000 0.0000 0.2500
Pd1 Pd 0.1323 0.3677 0.5000
```

---

Results for E_form: -10.34; -11.91; -11.39; -17.46; -1.90; -12.25; -9.82; -11.74 (in kcal/mol of atoms, following the order of the records).
Results for VASP energy: -41.42; -46.89; -27.49; -44.02; -16.06; -27.75; -14.07; -38.88 (in eV per formula unit, following the order of the records).
Results for total moment: 0.000; 0.000; 0.000; 0.000; 0.000; 0.000; 0.068; 0.001 (in μB per formula unit, following the order of the records).